Model w:
TaTc2Ir at its PBEsol-relaxed geometry. Source: Alexandria, functional SCAN.

Computed properties:
* V: 14.854 A^3/atom
* SG: I4/mmm (139)

Lattice parameters (Å, degrees): 3.857 3.857 4.837 113.50 113.50 90.00
Fractional coordinates of all 4 atoms:
Ta1 0.000 0.000 0.000
Tc1 0.250 0.750 0.500
Tc2 0.750 0.250 0.500
Ir1 0.500 0.500 0.000

***

Model x:
TaTc2Ir at its PBEsol-relaxed geometry. Source: Alexandria, functional SCAN.

Computed properties:
* V: 14.948 A^3/atom
* SG: P2/m (10)

Lattice parameters (Å, degrees): 2.703 4.080 5.484 90.00 98.62 90.00
Fractional coordinates of all 4 atoms:
Tc1 0.076 0.000 0.237
Tc2 0.924 0.000 0.763
Ta1 0.500 0.500 0.500
Ir1 0.500 0.500 0.000

***

Stability verdict: model w, ahead by 102 meV/atom